# 1
DFT (PBE-GGA) results for a geometry-optimized Li2PmTm2In2 structure.

Cell lengths 4.8801, 4.8801, 9.1952 Å; angles 74.61, 74.61, 60.00 degrees
Fractional coordinates of all 7 atoms:
Li (0.5961, 0.5961, 0.2116)
Li (0.4039, 0.4039, 0.7884)
In (0.2587, 0.2587, 0.2238)
In (0.7413, 0.7413, 0.7762)
Tm (0.8709, 0.8709, 0.3874)
Tm (0.1291, 0.1291, 0.6126)
Pm (0.0000, 0.0000, 0.0000)

Output
spin magnetization	0.00	μB/cell
energy	-24.57	eV/cell
energy relative to the elements	-225	meV/atom

---

# 2
DFT (PBE-GGA) results for a geometry-optimized LiPmTm2In4 structure.

Cell lengths 5.2007, 5.2007, 9.2180 Å; angles 73.61, 73.61, 60.00 degrees
Fractional coordinates of all 8 atoms:
In (0.1281, 0.1281, 0.6158)
In (0.8719, 0.8719, 0.3842)
In (0.6207, 0.6207, 0.1378)
In (0.3793, 0.3793, 0.8622)
Tm (0.7532, 0.7532, 0.7405)
Tm (0.2468, 0.2468, 0.2595)
Li (0.5000, 0.5000, 0.5000)
Pm (0.0000, 0.0000, 0.0000)

Output
spin magnetization	0.00	μB/cell
energy	-29.77	eV/cell
energy relative to the elements	-401	meV/atom

---

# 3
DFT (PBE-GGA) results for a geometry-optimized LiPmTmIn structure.

Cell lengths 5.3080, 5.3080, 5.3080 Å; angles 60.00, 60.00, 60.00 degrees
Fractional coordinates of all 4 atoms:
Pm (0.7500, 0.7500, 0.7500)
Tm (0.2500, 0.2500, 0.2500)
In (0.5000, 0.5000, 0.5000)
Li (0.0000, 0.0000, 0.0000)

Output
spin magnetization	0.00	μB/cell
energy	-14.90	eV/cell
energy relative to the elements	-257	meV/atom

---

# 4
DFT (PBE-GGA) results for a geometry-optimized Li2Pm2TmIn5 structure.

Cell lengths 4.5124, 10.2886, 10.2886 Å; angles 90.00, 90.00, 90.00 degrees
Fractional coordinates of all 20 atoms:
In (0.5000, 0.5000, 0.0000)
In (0.5000, 0.4319, 0.2900)
In (0.5000, 0.0681, 0.7900)
In (0.5000, 0.2100, 0.0681)
In (0.5000, 0.9319, 0.2100)
In (0.5000, 0.7100, 0.4319)
In (0.5000, 0.5681, 0.7100)
In (0.5000, 0.2900, 0.5681)
In (0.5000, 0.0000, 0.5000)
In (0.5000, 0.7900, 0.9319)
Pm (0.0000, 0.3220, 0.8220)
Pm (0.0000, 0.8220, 0.6780)
Pm (0.0000, 0.1780, 0.3220)
Pm (0.0000, 0.6780, 0.1780)
Li (0.0000, 0.3836, 0.1164)
Li (0.0000, 0.6164, 0.8836)
Li (0.0000, 0.1164, 0.6164)
Li (0.0000, 0.8836, 0.3836)
Tm (0.0000, 0.0000, 0.0000)
Tm (0.0000, 0.5000, 0.5000)

Output
spin magnetization	0.00	μB/cell
energy	-71.21	eV/cell
energy relative to the elements	-411	meV/atom

---

# 5
DFT (PBE-GGA) results for a geometry-optimized LiPm2TmIn4 structure.

Cell lengths 5.2527, 5.2527, 9.2881 Å; angles 73.57, 73.57, 60.00 degrees
Fractional coordinates of all 8 atoms:
In (0.8750, 0.8750, 0.3750)
In (0.6249, 0.6249, 0.1253)
In (0.1250, 0.1250, 0.6250)
In (0.3751, 0.3751, 0.8747)
Tm (0.0000, 0.0000, 0.0000)
Pm (0.7550, 0.7550, 0.7351)
Pm (0.2450, 0.2450, 0.2649)
Li (0.5000, 0.5000, 0.5000)

Output
spin magnetization	0.00	μB/cell
energy	-30.21	eV/cell
energy relative to the elements	-421	meV/atom

---

# 6
DFT (PBE-GGA) results for a geometry-optimized LiPmYIn structure.

Cell lengths 5.3470, 5.3470, 5.3470 Å; angles 60.00, 60.00, 60.00 degrees
Fractional coordinates of all 4 atoms:
In (0.0000, 0.0000, 0.0000)
Y (0.2500, 0.2500, 0.2500)
Li (0.5000, 0.5000, 0.5000)
Pm (0.7500, 0.7500, 0.7500)

Output
spin magnetization	0.00	μB/cell
energy	-17.01	eV/cell
energy relative to the elements	-286	meV/atom

---

# 7
DFT (PBE-GGA) results for a geometry-optimized Li2PmY2In2 structure.

Cell lengths 4.8897, 4.8897, 9.3647 Å; angles 74.87, 74.87, 60.00 degrees
Fractional coordinates of all 7 atoms:
In (0.7398, 0.7398, 0.7806)
In (0.2602, 0.2602, 0.2194)
Pm (0.0000, 0.0000, 0.0000)
Y (0.1280, 0.1280, 0.6160)
Y (0.8720, 0.8720, 0.3840)
Li (0.4008, 0.4008, 0.7977)
Li (0.5992, 0.5992, 0.2023)

Output
spin magnetization	0.00	μB/cell
energy	-28.71	eV/cell
energy relative to the elements	-247	meV/atom

---

# 8
DFT (PBE-GGA) results for a geometry-optimized LiPm2YIn4 structure.

Cell lengths 5.2706, 5.2706, 9.3369 Å; angles 73.61, 73.61, 60.00 degrees
Fractional coordinates of all 8 atoms:
Li (0.5000, 0.5000, 0.5000)
Y (0.0000, 0.0000, 0.0000)
In (0.8746, 0.8746, 0.3762)
In (0.3757, 0.3757, 0.8728)
In (0.1254, 0.1254, 0.6238)
In (0.6243, 0.6243, 0.1272)
Pm (0.7552, 0.7552, 0.7344)
Pm (0.2448, 0.2448, 0.2656)

Output
spin magnetization	0.00	μB/cell
energy	-32.37	eV/cell
energy relative to the elements	-442	meV/atom

---

# 9
DFT (PBE-GGA) results for a geometry-optimized Li2Pm2YIn2 structure.

Cell lengths 4.8784, 4.8784, 9.3999 Å; angles 74.96, 74.96, 60.00 degrees
Fractional coordinates of all 7 atoms:
In (0.7349, 0.7349, 0.7953)
In (0.2651, 0.2651, 0.2047)
Y (0.0000, 0.0000, 0.0000)
Li (0.6088, 0.6088, 0.1736)
Li (0.3912, 0.3912, 0.8264)
Pm (0.8727, 0.8727, 0.3818)
Pm (0.1273, 0.1273, 0.6182)

Output
spin magnetization	0.00	μB/cell
energy	-27.00	eV/cell
energy relative to the elements	-248	meV/atom

---

# 10
DFT (PBE-GGA) results for a geometry-optimized LiPmZnIn structure.

Cell lengths 4.8921, 4.8921, 4.8921 Å; angles 60.00, 60.00, 60.00 degrees
Fractional coordinates of all 4 atoms:
Li (0.5000, 0.5000, 0.5000)
Zn (0.0000, 0.0000, 0.0000)
Pm (0.7500, 0.7500, 0.7500)
In (0.2500, 0.2500, 0.2500)

Output
spin magnetization	0.00	μB/cell
energy	-12.12	eV/cell
energy relative to the elements	-361	meV/atom

---

# 11
DFT (PBE-GGA) results for a geometry-optimized LiPmZrIn structure.

Cell lengths 5.1528, 5.1528, 5.1528 Å; angles 60.00, 60.00, 60.00 degrees
Fractional coordinates of all 4 atoms:
Zr (0.7500, 0.7500, 0.7500)
In (0.0000, 0.0000, 0.0000)
Pm (0.2500, 0.2500, 0.2500)
Li (0.5000, 0.5000, 0.5000)

Output
spin magnetization	0.00	μB/cell
energy	-18.34	eV/cell
energy relative to the elements	-98	meV/atom

---

# 12
DFT (PBE-GGA) results for a geometry-optimized Li8PrIn3 structure.

Cell lengths 5.4395, 5.4395, 9.3219 Å; angles 90.00, 90.00, 120.00 degrees
Fractional coordinates of all 12 atoms:
Li (0.1610, 0.8390, 0.2366)
Li (0.5043, 0.0086, 0.7682)
Li (0.3333, 0.6667, 0.9988)
Li (0.3333, 0.6667, 0.4832)
Li (0.1610, 0.3221, 0.2366)
Li (0.6779, 0.8390, 0.2366)
Li (0.5043, 0.4957, 0.7682)
Li (0.9914, 0.4957, 0.7682)
In (0.0000, 0.0000, 0.9364)
In (0.6667, 0.3333, 0.0674)
In (0.6667, 0.3333, 0.4302)
Pr (0.0000, 0.0000, 0.5696)

Output
spin magnetization	0.00	μB/cell
energy	-30.17	eV/cell
energy relative to the elements	-155	meV/atom